The following is a PBE-GGA calculation of an optimized crystal structure of Hf4PPt, from the Alexandria database.

abc: 6.3867 6.3169 6.3214
angles: 90.00 92.37 90.00
Positions (direct):
Hf  0.8616  0.6479  0.1572
Hf  0.6384  0.1479  0.8428
Hf  0.3385  0.3543  0.3638
Hf  0.1615  0.8543  0.6362
Hf  0.1384  0.3521  0.8428
Hf  0.3616  0.8521  0.1572
Hf  0.6615  0.6457  0.6362
Hf  0.8385  0.1457  0.3638
P  0.5000  0.0000  0.5000
P  0.0000  0.5000  0.5000
Pt  0.0000  0.0000  0.0000
Pt  0.5000  0.5000  0.0000

Computed properties:
Total magnetic moment ... 0.000 μB/cell
Formation enthalpy at 0 K ... -52.6 kJ/mol of atoms
SG ... P2_1/c, No. 14
DOS(E_F) ... 11.485 states/eV/cell